# 1
5
Lattice="3.878 0.000 0.000 0.000 3.878 0.000 0.000 0.000 4.048" Properties=species:S:1:pos:R:3 comment="PBE GeBrO2F, optimized geometry" e_form_raw_ev_per_atom=-0.53 dos_ef_per_ev_fu=3.19 crystal_system=tetragonal final_energy_ha_per_atom=-0.152 sg="P4/mmm, No. 123" pbc="T T T"
O 0.000 1.939 0.000
O 1.939 0.000 0.000
Ge 0.000 0.000 0.000
Br 1.939 1.939 2.024
F 0.000 0.000 2.024


# 2
5
Lattice="4.608 0.000 0.000 0.000 4.741 0.000 0.000 0.000 4.608" Properties=species:S:1:pos:R:3 comment="PBE Na2LiTcGe, optimized geometry" dos_ef_per_ev_fu=3.17 crystal_system=tetragonal e_form_ev_per_atom=0.892 final_energy_ha_per_atom=-0.111 sg="P4/mmm, No. 123" pbc="T T T"
Li 0.000 0.000 0.000
Na 2.304 0.000 0.000
Na 0.000 0.000 2.304
Ge 0.000 2.370 0.000
Tc 2.304 2.370 2.304